# Rb2LaTe2, optimized geometry, DFT PBE-GGA
data_Rb2LaTe2
_symmetry_space_group_name_H-M 'P 4/m b m'
_symmetry_Int_Tables_number 127
_symmetry_space_group_name_Hall '-P 4 2ab'
_cell_length_a 9.561
_cell_length_b 9.561
_cell_length_c 4.155
_cell_angle_alpha 90.00
_cell_angle_beta 90.00
_cell_angle_gamma 90.00
loop_
_atom_site_label
_atom_site_type_symbol
_atom_site_fract_x
_atom_site_fract_y
_atom_site_fract_z
Rb1 Rb 0.115 0.385 0.000
La1 La 0.000 0.000 0.000
Te1 Te 0.188 0.688 0.500
# Distance to the lowest polymorph of the same formula (meV/atom): 416
# Energy (eV/atom): -3.209
# E_form (uncorrected) (meV per atom): -580
# Crystal system: tetragonal


# RbLaTe4, optimized geometry, DFT PBE-GGA
data_RbLaTe4
_symmetry_space_group_name_H-M 'P 4/n b m'
_symmetry_Int_Tables_number 125
_cell_length_a 7.017
_cell_length_b 7.017
_cell_length_c 9.395
_cell_angle_alpha 90.00
_cell_angle_beta 90.00
_cell_angle_gamma 90.00
loop_
_symmetry_equiv_pos_as_xyz
'x,y,z'
'-x,-y,-z'
'-y+1/2,x,z'
'y+1/2,-x,-z'
'-x+1/2,-y+1/2,z'
'x+1/2,y+1/2,-z'
'y,-x+1/2,z'
'-y,x+1/2,-z'
'x,-y+1/2,-z'
'-x,y+1/2,z'
'-y+1/2,-x+1/2,-z'
'y+1/2,x+1/2,z'
'-x+1/2,y,-z'
'x+1/2,-y,z'
'y,x,-z'
'-y,-x,z'
loop_
_atom_site_label
_atom_site_type_symbol
_atom_site_fract_x
_atom_site_fract_y
_atom_site_fract_z
Rb1 Rb 0.250 0.250 0.000
La1 La 0.250 0.250 0.500
Te1 Te 0.107 0.607 0.291
# Energy (eV/atom): -4.090
# E_form (uncorrected) (meV per atom): -1013
# Crystal system: tetragonal


# RbLaTe2, optimized geometry, DFT PBE-GGA
data_RbLaTe2
_symmetry_space_group_name_H-M 'I 41/a m d'
_symmetry_Int_Tables_number 141
_cell_length_a 6.799
_cell_length_b 6.799
_cell_length_c 14.008
_cell_angle_alpha 90.00
_cell_angle_beta 90.00
_cell_angle_gamma 90.00
loop_
_symmetry_equiv_pos_as_xyz
'x,y,z'
'-x,-y,-z'
'-y+1/4,x+3/4,z+1/4'
'y+1/4,-x+3/4,-z+1/4'
'-x+1/2,-y,z+1/2'
'x+1/2,y,-z+1/2'
'y+1/4,-x+1/4,z+3/4'
'-y+1/4,x+1/4,-z+3/4'
'x,-y,-z'
'-x,y,z'
'-y+1/4,-x+1/4,-z+3/4'
'y+1/4,x+1/4,z+3/4'
'-x+1/2,y,-z+1/2'
'x+1/2,-y,z+1/2'
'y+1/4,x+3/4,-z+1/4'
'-y+1/4,-x+3/4,z+1/4'
'x+1/2,y+1/2,z+1/2'
'-x+1/2,-y+1/2,-z+1/2'
'-y+3/4,x+1/4,z+3/4'
'y+3/4,-x+1/4,-z+3/4'
'-x,-y+1/2,z'
'x,y+1/2,-z'
'y+3/4,-x+3/4,z+1/4'
'-y+3/4,x+3/4,-z+1/4'
'x+1/2,-y+1/2,-z+1/2'
'-x+1/2,y+1/2,z+1/2'
'-y+3/4,-x+3/4,-z+1/4'
'y+3/4,x+3/4,z+1/4'
'-x,y+1/2,-z'
'x,-y+1/2,z'
'y+3/4,x+1/4,-z+3/4'
'-y+3/4,-x+1/4,z+3/4'
loop_
_atom_site_label
_atom_site_type_symbol
_atom_site_fract_x
_atom_site_fract_y
_atom_site_fract_z
Rb1 Rb 0.000 0.250 0.375
La1 La 0.000 0.250 0.875
Te1 Te 0.000 0.250 0.102
# Energy (eV/atom): -4.422
# E_form (uncorrected) (meV per atom): -1377
# Crystal system: tetragonal


# RbLa2Te2, optimized geometry, DFT PBE-GGA
data_RbLa2Te2
_symmetry_space_group_name_H-M 'P 4/m b m'
_symmetry_Int_Tables_number 127
_symmetry_space_group_name_Hall '-P 4 2ab'
_cell_length_a 9.115
_cell_length_b 9.115
_cell_length_c 4.191
_cell_angle_alpha 90.00
_cell_angle_beta 90.00
_cell_angle_gamma 90.00
loop_
_atom_site_label
_atom_site_type_symbol
_atom_site_fract_x
_atom_site_fract_y
_atom_site_fract_z
Rb1 Rb 0.000 0.000 0.000
La1 La 0.149 0.351 0.500
Te1 Te 0.143 0.643 0.000
# Distance to the lowest polymorph of the same formula (meV/atom): 0
# Energy (eV/atom): -4.431
# E_form (uncorrected) (meV per atom): -1010
# Crystal system: tetragonal


# RbLaTe2, optimized geometry, DFT PBE-GGA
data_RbLaTe2
_symmetry_space_group_name_H-M 'C m c m'
_symmetry_Int_Tables_number 63
_symmetry_space_group_name_Hall '-C 2c 2'
_cell_length_a 4.358
_cell_length_b 26.665
_cell_length_c 5.897
_cell_angle_alpha 90.00
_cell_angle_beta 90.00
_cell_angle_gamma 90.00
loop_
_atom_site_label
_atom_site_type_symbol
_atom_site_fract_x
_atom_site_fract_y
_atom_site_fract_z
Rb1 Rb 0.000 0.045 0.250
La1 La 0.000 0.316 0.250
Te1 Te 0.000 0.097 0.750
Te2 Te 0.000 0.198 0.250
# Energy (eV/atom): -4.188
# E_form (uncorrected) (meV per atom): -1144
# Crystal system: orthorhombic


# RbLaTe2, optimized geometry, DFT PBE-GGA
data_RbLaTe2
_symmetry_space_group_name_H-M 'I 4/m c m'
_symmetry_Int_Tables_number 140
_symmetry_space_group_name_Hall '-I 4 2c'
_cell_length_a 8.894
_cell_length_b 8.894
_cell_length_c 8.432
_cell_angle_alpha 90.00
_cell_angle_beta 90.00
_cell_angle_gamma 90.00
loop_
_atom_site_label
_atom_site_type_symbol
_atom_site_fract_x
_atom_site_fract_y
_atom_site_fract_z
Rb1 Rb 0.000 0.000 0.250
La1 La 0.000 0.500 0.250
Te1 Te 0.185 0.315 0.000
# Energy (eV/atom): -4.310
# E_form (uncorrected) (meV per atom): -1265
# Crystal system: tetragonal


# RbLaTe2, optimized geometry, DFT PBE-GGA
data_RbLaTe2
_symmetry_space_group_name_H-M 'P 1 21/m 1'
_symmetry_Int_Tables_number 11
_cell_length_a 4.701
_cell_length_b 6.777
_cell_length_c 10.410
_cell_angle_alpha 90.00
_cell_angle_beta 90.08
_cell_angle_gamma 90.00
loop_
_symmetry_equiv_pos_as_xyz
'x,y,z'
'-x,-y,-z'
'-x,y+1/2,-z'
'x,-y+1/2,z'
loop_
_atom_site_label
_atom_site_type_symbol
_atom_site_fract_x
_atom_site_fract_y
_atom_site_fract_z
Rb1 Rb 0.248 0.250 0.395
La1 La 0.249 0.250 0.882
Te1 Te 0.250 0.750 0.899
Te2 Te 0.252 0.750 0.322
# Energy (eV/atom): -4.491
# E_form (uncorrected) (meV per atom): -1447
# Crystal system: monoclinic


# RbLaTe2, optimized geometry, DFT PBE-GGA
data_RbLaTe2
_symmetry_space_group_name_H-M 'I -4 2 d'
_symmetry_Int_Tables_number 122
_symmetry_space_group_name_Hall 'I -4 2bw'
_cell_length_a 8.736
_cell_length_b 8.736
_cell_length_c 10.566
_cell_angle_alpha 90.00
_cell_angle_beta 90.00
_cell_angle_gamma 90.00
loop_
_atom_site_label
_atom_site_type_symbol
_atom_site_fract_x
_atom_site_fract_y
_atom_site_fract_z
Rb1 Rb 0.000 0.000 0.000
La1 La 0.000 0.000 0.500
Te1 Te 0.200 0.250 0.625
# Energy (eV/atom): -4.296
# E_form (uncorrected) (meV per atom): -1251
# Crystal system: tetragonal


# RbLaTe2, optimized geometry, DFT PBE-GGA
data_RbLaTe2
_symmetry_space_group_name_H-M 'C 1 2/c 1'
_symmetry_Int_Tables_number 15
_cell_length_a 12.060
_cell_length_b 12.049
_cell_length_c 20.024
_cell_angle_alpha 90.00
_cell_angle_beta 100.08
_cell_angle_gamma 90.00
loop_
_symmetry_equiv_pos_as_xyz
'x,y,z'
'-x,-y,-z'
'-x,y,-z+1/2'
'x,-y,z+1/2'
'x+1/2,y+1/2,z'
'-x+1/2,-y+1/2,-z'
'-x+1/2,y+1/2,-z+1/2'
'x+1/2,-y+1/2,z+1/2'
loop_
_atom_site_label
_atom_site_type_symbol
_atom_site_fract_x
_atom_site_fract_y
_atom_site_fract_z
Rb1 Rb 0.071 0.174 0.083
Rb2 Rb 0.173 0.419 0.408
La1 La 0.024 0.193 0.838
La2 La 0.232 0.444 0.683
Te1 Te 0.000 0.046 0.250
Te2 Te 0.000 0.434 0.750
Te3 Te 0.091 0.315 0.558
Te4 Te 0.178 0.053 0.944
Te5 Te 0.242 0.197 0.756
# Energy (eV/atom): -4.352
# E_form (uncorrected) (meV per atom): -1307
# Crystal system: monoclinic


# RbLaTe2, optimized geometry, DFT PBE-GGA
data_RbLaTe2
_symmetry_space_group_name_H-M 'P -3 m 1'
_symmetry_Int_Tables_number 164
_symmetry_space_group_name_Hall '-P 3 2"'
_cell_length_a 4.7035
_cell_length_b 4.7035
_cell_length_c 8.8052
_cell_angle_alpha 90.00
_cell_angle_beta 90.00
_cell_angle_gamma 120.00
loop_
_atom_site_label
_atom_site_type_symbol
_atom_site_fract_x
_atom_site_fract_y
_atom_site_fract_z
Rb1 Rb 0.0000 0.0000 0.0000
La1 La 0.0000 0.0000 0.5000
Te1 Te 0.3333 0.6667 0.2954
# Energy (eV/atom): -4.507
# E_form (uncorrected) (meV per atom): -1462
# Crystal system: trigonal


# Rb2LaTe2, optimized geometry, DFT PBE-GGA
data_Rb2LaTe2
_symmetry_space_group_name_H-M 'P 4/m b m'
_symmetry_Int_Tables_number 127
_symmetry_space_group_name_Hall '-P 4 2ab'
_cell_length_a 8.820
_cell_length_b 8.820
_cell_length_c 5.410
_cell_angle_alpha 90.00
_cell_angle_beta 90.00
_cell_angle_gamma 90.00
loop_
_atom_site_label
_atom_site_type_symbol
_atom_site_fract_x
_atom_site_fract_y
_atom_site_fract_z
Rb1 Rb 0.137 0.363 0.000
La1 La 0.000 0.000 0.500
Te1 Te 0.177 0.677 0.500
# Distance to the lowest polymorph of the same formula (meV/atom): 0
# Energy (eV/atom): -3.625
# E_form (uncorrected) (meV per atom): -996
# Crystal system: tetragonal


# RbLaTe2, optimized geometry, DFT PBE-GGA
data_RbLaTe2
_symmetry_space_group_name_H-M 'C m c m'
_symmetry_Int_Tables_number 63
_symmetry_space_group_name_Hall '-C 2c 2'
_cell_length_a 8.265
_cell_length_b 24.396
_cell_length_c 4.707
_cell_angle_alpha 90.00
_cell_angle_beta 90.00
_cell_angle_gamma 90.00
loop_
_atom_site_label
_atom_site_type_symbol
_atom_site_fract_x
_atom_site_fract_y
_atom_site_fract_z
Rb1 Rb 0.000 0.113 0.250
La1 La 0.000 0.277 0.750
Te1 Te 0.240 0.323 0.250
# Energy (eV/atom): -4.376
# E_form (uncorrected) (meV per atom): -1331
# Crystal system: orthorhombic